No. 1
Entry from the Alexandria database: CdGaSn2H after structural relaxation (PBE).

The calculation puts the total moment at 0.00 μB per atom. Its electronic total energy is -2.88 eV per atom. The density of states at the Fermi level comes out at 0.55 states/eV per atom.

Lattice parameters (Å, degrees): 5.729 5.729 3.287 90.00 90.00 90.00
Space group P4/mmm (No. 123)
One atom of each set of equivalent atoms:
Cd 0.000 0.000 0.000 (multiplicity 1)
Ga 0.500 0.500 0.500 (multiplicity 1)
Sn 0.000 0.500 0.500 (multiplicity 2)
H 0.500 0.500 0.000 (multiplicity 1)

=====

No. 2
Entry from the Alexandria database: YCdGaH2 after structural relaxation (PBE).

The calculation puts the total moment at 0.00 μB per atom. Its electronic total energy is -3.19 eV per atom. The density of states at the Fermi level comes out at 0.42 states/eV per atom.

Lattice parameters (Å, degrees): 4.069 4.069 5.339 90.00 90.00 90.00
Space group P4/mmm (No. 123)
One atom of each set of equivalent atoms:
Y 0.000 0.000 0.000 (multiplicity 1)
Cd 0.500 0.500 0.500 (multiplicity 1)
Ga 0.500 0.500 0.000 (multiplicity 1)
H 0.000 0.500 0.500 (multiplicity 2)

=====

No. 3
Entry from the Alexandria database: HfCd3Ga after structural relaxation (PBE).

The calculation puts the total moment at 0.00 μB per atom. As for the energy above the most stable polymorph in this dataset: 0 meV per atom. Its electronic total energy is -2.43 eV per atom. The density of states at the Fermi level comes out at 0.55 states/eV per atom.

Lattice parameters (Å, degrees): 4.990 4.990 4.990 90.00 90.00 90.00
Space group Pm-3m (No. 221)
One atom of each set of equivalent atoms:
Hf 0.000 0.000 0.000 (multiplicity 1)
Cd 0.000 0.500 0.500 (multiplicity 3)
Ga 0.500 0.500 0.500 (multiplicity 1)

=====

No. 4
Entry from the Alexandria database: HfCdGa3 after structural relaxation (PBE).

The calculation puts the total moment at 0.00 μB per atom. As for the energy above the most stable polymorph in this dataset: 242 meV per atom. Its electronic total energy is -3.16 eV per atom. The density of states at the Fermi level comes out at 0.73 states/eV per atom.

Lattice parameters (Å, degrees): 4.968 4.968 4.968 90.00 90.00 90.00
Space group Pm-3m (No. 221)
One atom of each set of equivalent atoms:
Hf 0.000 0.000 0.000 (multiplicity 1)
Cd 0.500 0.500 0.500 (multiplicity 1)
Ga 0.000 0.500 0.500 (multiplicity 3)

=====

No. 5
Entry from the Alexandria database: Hf3CdGa after structural relaxation (PBE).

The calculation puts the total moment at 0.00 μB per atom. As for the energy above the most stable polymorph in this dataset: 0 meV per atom. Its electronic total energy is -6.29 eV per atom. The density of states at the Fermi level comes out at 0.57 states/eV per atom.

Lattice parameters (Å, degrees): 4.964 4.964 4.964 90.00 90.00 90.00
Space group Pm-3m (No. 221)
One atom of each set of equivalent atoms:
Hf 0.000 0.000 0.500 (multiplicity 3)
Cd 0.500 0.500 0.500 (multiplicity 1)
Ga 0.000 0.000 0.000 (multiplicity 1)

=====

No. 6
Entry from the Alexandria database: HfCd3Ga after structural relaxation (PBE).

The calculation puts the total moment at 0.28 μB per atom. As for the energy above the most stable polymorph in this dataset: 217 meV per atom. Its electronic total energy is -2.22 eV per atom. The density of states at the Fermi level comes out at 1.26 states/eV per atom.

Lattice parameters (Å, degrees): 5.623 5.623 5.623 90.00 90.00 90.00
Space group Pm-3m (No. 221)
One atom of each set of equivalent atoms:
Hf 0.000 0.000 0.000 (multiplicity 1)
Cd 0.000 0.000 0.500 (multiplicity 3)
Ga 0.500 0.500 0.500 (multiplicity 1)

=====

No. 7
Entry from the Alexandria database: HfCdGa after structural relaxation (PBE).

The calculation puts the total moment at 0.00 μB per atom. Its electronic total energy is -4.76 eV per atom. The density of states at the Fermi level comes out at 0.57 states/eV per atom.

Lattice parameters (Å, degrees): 4.5822 4.5822 3.1802 90.00 90.00 120.00
Space group P3m1 (No. 156)
One atom of each set of equivalent atoms:
Hf 0.0000 0.0000 0.0000 (multiplicity 1)
Cd 0.3333 0.6667 0.5021 (multiplicity 1)
Ga 0.6667 0.3333 0.4956 (multiplicity 1)

=====

No. 8
Entry from the Alexandria database: HfCdGa3 after structural relaxation (PBE).

The calculation puts the total moment at 0.00 μB per atom. As for the energy above the most stable polymorph in this dataset: 0 meV per atom. Its electronic total energy is -3.40 eV per atom. The density of states at the Fermi level comes out at 0.98 states/eV per atom.

Lattice parameters (Å, degrees): 5.260 5.260 5.260 90.00 90.00 90.00
Space group Pm-3m (No. 221)
One atom of each set of equivalent atoms:
Hf 0.000 0.000 0.000 (multiplicity 1)
Cd 0.500 0.500 0.500 (multiplicity 1)
Ga 0.000 0.000 0.500 (multiplicity 3)

=====

No. 9
Entry from the Alexandria database: HfCdGa2 after structural relaxation (PBE).

The calculation puts the total moment at 0.00 μB per atom. Its electronic total energy is -4.49 eV per atom. The density of states at the Fermi level comes out at 0.34 states/eV per atom.

Lattice parameters (Å, degrees): 4.282 4.282 4.020 90.00 90.00 90.00
Space group P4/mmm (No. 123)
One atom of each set of equivalent atoms:
Hf 0.000 0.000 0.000 (multiplicity 1)
Cd 0.500 0.500 0.000 (multiplicity 1)
Ga 0.000 0.500 0.500 (multiplicity 2)

=====

No. 10
Entry from the Alexandria database: HfCdGa after structural relaxation (PBE).

The calculation puts the total moment at 0.00 μB per atom. Its electronic total energy is -4.73 eV per atom. The density of states at the Fermi level comes out at 0.42 states/eV per atom.

Lattice parameters (Å, degrees): 3.077 3.077 12.563 90.00 90.00 90.00
Space group I4mm (No. 107)
One atom of each set of equivalent atoms:
Hf 0.000 0.000 0.000 (multiplicity 2)
Cd 0.000 0.000 0.680 (multiplicity 2)
Ga 0.000 0.000 0.347 (multiplicity 2)

=====

No. 11
Entry from the Alexandria database: HfCdGa2 after structural relaxation (PBE).

The calculation puts the total moment at 0.00 μB per atom. Its electronic total energy is -4.15 eV per atom. The density of states at the Fermi level comes out at 0.34 states/eV per atom.

Lattice parameters (Å, degrees): 7.393 7.393 5.967 90.00 90.00 90.00
Space group I-42d (No. 122)
One atom of each set of equivalent atoms:
Hf 0.000 0.000 0.000 (multiplicity 4)
Cd 0.000 0.000 0.500 (multiplicity 4)
Ga 0.238 0.750 0.625 (multiplicity 8)

=====

No. 12
Entry from the Alexandria database: HoHfCdGa after structural relaxation (PBE).

The calculation puts the total moment at 0.00 μB per atom. Its electronic total energy is -4.85 eV per atom. The density of states at the Fermi level comes out at 0.52 states/eV per atom.

Lattice parameters (Å, degrees): 7.025 7.025 7.025 90.00 90.00 90.00
Space group F-43m (No. 216)
One atom of each set of equivalent atoms:
Ho 0.000 0.000 0.000 (multiplicity 4)
Hf 0.000 0.000 0.500 (multiplicity 4)
Cd 0.250 0.250 0.250 (multiplicity 4)
Ga 0.250 0.250 0.750 (multiplicity 4)

=====

No. 13
Entry from the Alexandria database: HfCdGaIr2 after structural relaxation (PBE).

The calculation puts the total moment at 0.00 μB per atom. Its electronic total energy is -5.71 eV per atom. The density of states at the Fermi level comes out at 0.64 states/eV per atom.

Lattice parameters (Å, degrees): 4.587 4.587 4.688 90.00 90.00 90.00
Space group P4/mmm (No. 123)
One atom of each set of equivalent atoms:
Hf 0.000 0.000 0.000 (multiplicity 1)
Cd 0.500 0.500 0.000 (multiplicity 1)
Ga 0.500 0.500 0.500 (multiplicity 1)
Ir 0.000 0.500 0.500 (multiplicity 2)

=====

No. 14
Entry from the Alexandria database: KHfCd2Ga after structural relaxation (PBE).

The calculation puts the total moment at 0.11 μB per atom. Its electronic total energy is -2.76 eV per atom. The density of states at the Fermi level comes out at 1.15 states/eV per atom.

Lattice parameters (Å, degrees): 5.767 5.767 5.225 90.00 90.00 90.00
Space group P4/mmm (No. 123)
One atom of each set of equivalent atoms:
K 0.000 0.000 0.000 (multiplicity 1)
Hf 0.500 0.500 0.500 (multiplicity 1)
Cd 0.000 0.500 0.500 (multiplicity 2)
Ga 0.500 0.500 0.000 (multiplicity 1)